BaIO2: optimized geometry, GGA-PBEsol.

Results
For the final energy, the calculation gives -4.323 eV per atom. As for the energy above the most stable polymorph in this dataset: 6.287 kcal/mol of atoms. Its symmetry is Fm-3m (225). Its density is 6.409 Mg/m³. The value obtained for the uncorrected formation energy is -0.719 eV per atom.

Cell: 4.7702 4.7702 4.7702 Å, 60.00 60.00 60.00°
Element x y z (fractional)
Ba (0.0000, 0.0000, 0.0000)
I (0.5000, 0.5000, 0.5000)
O (0.2500, 0.2500, 0.2500)
O (0.7500, 0.7500, 0.7500)